MgCrSi2P | meta-GGA SCAN | PBEsol geometry

```
MgCrSi2P
1.0
-2.331 1.669 3.361
-3.352 -2.705 -0.982
1.925 -3.501 3.074
Si P Mg Cr
2 1 1 1
direct
0.000 0.500 0.000
0.500 0.000 0.000
0.500 0.500 0.500
0.000 0.000 0.500
0.000 0.000 0.000
```

Output
* ΔE_f (raw): 0.80 eV per atom



Mg2CrPt | meta-GGA SCAN | PBEsol geometry

```
Mg2CrPt
1.0
4.128 0.000 0.000
-2.064 4.316 -0.016
0.000 1.987 3.618
Cr Mg Pt
1 2 1
direct
0.000 0.000 0.000
0.250 0.500 0.250
0.750 0.500 0.750
0.500 0.000 0.500
```

Output
* E_form: -0.5231 eV/atom



Mg2CrPt | meta-GGA SCAN | PBEsol geometry

```
Mg2CrPt
1.0
4.505 0.000 0.000
2.252 3.901 0.000
2.252 1.300 3.678
Mg Cr Pt
2 1 1
direct
0.750 0.750 0.750
0.000 0.000 0.000
0.500 0.500 0.500
0.250 0.250 0.250
```

Output
* E_form: -0.4230 eV/atom



MgCrPt2 | meta-GGA SCAN | PBEsol geometry

```
MgCrPt2
1.0
-2.430 -2.412 -1.681
2.615 -2.770 0.194
-1.527 1.492 4.393
Cr Pt Mg
1 2 1
direct
0.000 0.000 0.000
0.750 0.250 0.500
0.500 0.500 0.000
0.250 0.750 0.500
```

Output
* E_form: -0.5911 eV/atom



Mg2CrPt | meta-GGA SCAN | PBEsol geometry

```
Mg2CrPt
1.0
-2.858 0.487 -0.385
0.042 -2.256 -3.162
-1.243 -4.674 3.319
Pt Mg Cr
1 2 1
direct
0.000 0.000 0.505
0.500 0.500 0.276
0.000 0.000 0.984
0.500 0.500 0.735
```

Output
* E_form: -0.3215 eV/atom



Rb3MgCr | meta-GGA SCAN | PBEsol geometry

```
Rb3MgCr
1.0
-1.121 -4.570 5.142
6.407 -2.591 -0.905
2.505 4.581 4.617
Rb Cr Mg
3 1 1
direct
0.000 0.500 0.000
0.000 0.000 0.500
0.500 0.000 0.000
0.500 0.500 0.500
0.000 0.000 0.000
```

Output
* E_form: 0.7746 eV/atom



RbMg3Cr | meta-GGA SCAN | PBEsol geometry

```
RbMg3Cr
1.0
-2.923 4.253 1.715
0.517 -1.715 5.135
4.556 2.923 0.517
Mg Rb Cr
3 1 1
direct
0.000 0.000 0.500
0.500 0.000 0.000
0.000 0.500 0.000
0.500 0.500 0.500
0.000 0.000 0.000
```

Output
* E_form: 0.3944 eV/atom



Mg2CrRe2 | meta-GGA SCAN | PBEsol geometry

```
Mg2CrRe2
1.0
3.341 0.000 0.000
0.000 3.341 0.000
-1.670 -1.670 7.066
Re Mg Cr
2 2 1
direct
0.413 0.413 0.826
0.587 0.587 0.174
0.250 0.750 0.500
0.750 0.250 0.500
0.000 0.000 0.000
```

Output
* E_form: 1.0532 eV/atom



MgCr4Re | meta-GGA SCAN | PBEsol geometry

```
MgCr4Re
1.0
4.744 0.000 0.000
2.372 4.109 0.000
2.372 1.370 3.874
Cr Re Mg
4 1 1
direct
0.375 0.875 0.375
0.375 0.375 0.875
0.375 0.375 0.375
0.875 0.375 0.375
0.000 0.000 0.000
0.750 0.750 0.750
```

Output
* E_form: 0.1335 eV/atom



MgCr2Re | meta-GGA SCAN | PBEsol geometry

```
MgCr2Re
1.0
-0.236 -1.284 3.340
2.173 -2.711 -0.888
2.356 4.295 -0.108
Re Cr Mg
1 2 1
direct
0.250 0.750 0.500
0.750 0.250 0.500
0.000 0.000 0.000
0.500 0.500 0.000
```

Output
* E_form: 0.3883 eV/atom



MgCr2Re | meta-GGA SCAN | PBEsol geometry

```
MgCr2Re
1.0
-0.469 -2.389 0.619
0.344 0.085 -4.511
4.878 -0.839 0.457
Re Cr Mg
1 2 1
direct
0.500 0.000 0.000
0.253 0.506 0.248
0.747 0.494 0.752
0.000 0.000 0.500
```

Output
* E_form: 0.4801 eV/atom



MgSc2CrRe | meta-GGA SCAN | PBEsol geometry

```
MgSc2CrRe
1.0
-4.119 0.693 -1.348
-0.446 -4.706 -1.057
-1.612 -0.855 4.487
Sc Cr Re Mg
2 1 1 1
direct
0.000 0.500 0.000
0.000 0.000 0.500
0.000 0.000 0.000
0.500 0.000 0.000
0.500 0.500 0.500
```

Output
* E_form: 0.5742 eV/atom



MgCr2Rh | meta-GGA SCAN | PBEsol geometry

```
MgCr2Rh
1.0
2.592 0.000 0.000
0.000 4.824 -0.002
0.000 -2.400 4.184
Mg Rh Cr
1 1 2
direct
0.500 0.000 0.000
0.500 0.500 0.500
0.000 0.000 0.500
0.000 0.500 0.000
```

Output
* E_form: 0.3106 eV/atom



Mg4CrRh | meta-GGA SCAN | PBEsol geometry

```
Mg4CrRh
1.0
-3.508 -3.558 1.927
0.517 -1.829 5.006
-3.512 1.472 3.765
Cr Mg Rh
1 4 1
direct
0.000 0.000 0.000
0.874 0.375 0.375
0.375 0.375 0.874
0.375 0.375 0.375
0.375 0.874 0.375
0.750 0.750 0.750
```

Output
* E_form: 0.2637 eV/atom



MgCrRh2 | meta-GGA SCAN | PBEsol geometry

```
MgCrRh2
1.0
-4.227 0.953 -0.082
-2.588 -1.344 3.207
-1.631 2.865 2.814
Cr Rh Mg
1 2 1
direct
0.500 0.500 0.500
0.000 0.000 0.000
0.750 0.750 0.750
0.250 0.250 0.250
```

Output
* E_form: -0.0512 eV/atom



MgCrRu2 | meta-GGA SCAN | PBEsol geometry

```
MgCrRu2
1.0
-2.476 -1.353 0.671
1.504 -2.325 0.861
0.309 2.454 6.085
Ru Mg Cr
2 1 1
direct
0.500 0.500 0.273
0.000 0.000 0.009
0.500 0.500 0.746
0.000 0.000 0.471
```

Output
* E_form: 0.3154 eV/atom



MgCrRu2 | meta-GGA SCAN | PBEsol geometry

```
MgCrRu2
1.0
-2.516 0.603 1.368
-0.281 -2.821 0.726
3.173 1.065 5.365
Ru Cr Mg
2 1 1
direct
0.000 0.000 0.223
0.000 0.000 0.777
0.500 0.500 0.000
0.500 0.500 0.500
```

Output
* E_form: -0.0516 eV/atom



MgCrRu2 | meta-GGA SCAN | PBEsol geometry

```
MgCrRu2
1.0
2.722 0.000 0.000
1.361 2.357 0.000
1.361 0.786 8.545
Cr Mg Ru
1 1 2
direct
0.500 0.500 0.500
0.000 0.000 0.000
0.243 0.243 0.271
0.757 0.757 0.729
```

Output
* E_form: 0.1159 eV/atom



MgCrRu2 | meta-GGA SCAN | PBEsol geometry

```
MgCrRu2
1.0
4.285 0.000 0.000
2.142 3.711 0.000
2.142 1.237 3.498
Ru Cr Mg
2 1 1
direct
0.750 0.750 0.750
0.000 0.000 0.000
0.500 0.500 0.500
0.250 0.250 0.250
```

Output
* E_form: 0.2027 eV/atom



MgCr3S | meta-GGA SCAN | PBEsol geometry

```
MgCr3S
1.0
-2.996 -1.617 3.460
1.726 -4.496 -0.606
3.407 0.856 3.350
Cr S Mg
3 1 1
direct
0.000 0.000 0.500
0.000 0.500 0.000
0.500 0.000 0.000
0.500 0.500 0.500
0.000 0.000 0.000
```

Output
* ΔE_f (raw): 1.39 eV per atom



MgCr2S2 | meta-GGA SCAN | PBEsol geometry

```
MgCr2S2
1.0
4.353 0.000 0.000
-2.176 4.382 0.008
0.000 -2.169 3.774
Cr S Mg
2 2 1
direct
0.629 0.259 0.629
0.371 0.741 0.371
0.250 0.500 0.750
0.750 0.500 0.250
0.000 0.000 0.000
```

Output
* ΔE_f (raw): -0.23 eV per atom



Mg2Sc3CrS8 | meta-GGA SCAN | PBEsol geometry

```
Mg2Sc3CrS8
1.0
7.375 -0.001 -0.001
3.653 6.407 -0.001
3.653 2.122 6.046
S Mg Sc Cr
8 2 3 1
direct
0.721 0.268 0.268
0.742 0.742 0.742
0.268 0.268 0.721
0.732 0.279 0.732
0.268 0.721 0.268
0.279 0.732 0.732
0.732 0.732 0.279
0.258 0.258 0.258
0.875 0.875 0.875
0.125 0.125 0.125
0.500 0.500 0.000
0.000 0.500 0.500
0.500 0.000 0.500
0.500 0.500 0.500
```

Output
* ΔE_f (raw): -1.85 eV per atom



Mg2TiCr3S8 | meta-GGA SCAN | PBEsol geometry

```
Mg2TiCr3S8
1.0
7.119 -0.011 -0.008
3.499 6.200 -0.008
3.499 2.040 5.855
Mg S Ti Cr
2 8 1 3
direct
0.124 0.124 0.124
0.876 0.876 0.876
0.259 0.259 0.713
0.259 0.713 0.259
0.741 0.741 0.287
0.736 0.736 0.736
0.741 0.287 0.741
0.264 0.264 0.264
0.287 0.741 0.741
0.713 0.259 0.259
0.500 0.500 0.500
0.500 0.500 0.000
0.500 0.000 0.500
0.000 0.500 0.500
```

Output
* ΔE_f (raw): -1.36 eV per atom



Mg2Ti3CrS8 | meta-GGA SCAN | PBEsol geometry

```
Mg2Ti3CrS8
1.0
7.123 0.000 0.000
3.561 6.168 0.000
3.561 2.056 6.035
Ti S Mg Cr
3 8 2 1
direct
0.000 0.500 0.500
0.500 0.000 0.500
0.000 0.000 0.500
0.241 0.241 0.277
0.759 0.759 0.723
0.764 0.764 0.256
0.764 0.216 0.256
0.784 0.236 0.744
0.236 0.784 0.744
0.236 0.236 0.744
0.216 0.764 0.256
0.374 0.374 0.879
0.626 0.626 0.121
0.000 0.000 0.000
```

Output
* ΔE_f (raw): -1.48 eV per atom



Mg2VCr3S8 | meta-GGA SCAN | PBEsol geometry

```
Mg2VCr3S8
1.0
-0.807 -0.857 7.031
3.634 -5.109 3.394
5.307 1.760 4.423
Cr Mg S V
3 2 8 1
direct
0.500 0.500 0.000
0.000 0.500 0.500
0.500 0.000 0.500
0.876 0.876 0.876
0.124 0.124 0.124
0.262 0.710 0.262
0.262 0.262 0.710
0.738 0.738 0.290
0.738 0.290 0.738
0.710 0.262 0.262
0.290 0.738 0.738
0.264 0.264 0.264
0.736 0.736 0.736
0.500 0.500 0.500
```

Output
* ΔE_f (raw): -1.29 eV per atom



YMgCrS4 | meta-GGA SCAN | PBEsol geometry

```
YMgCrS4
1.0
-4.767 -5.288 -1.937
-3.921 -3.543 5.270
-7.335 1.265 0.545
Mg S Cr Y
2 8 2 2
direct
0.875 0.375 0.875
0.125 0.625 0.125
0.755 0.781 0.709
0.245 0.791 0.719
0.227 0.772 0.272
0.245 0.219 0.291
0.755 0.209 0.281
0.728 0.772 0.272
0.272 0.228 0.728
0.773 0.228 0.728
0.000 0.000 0.500
0.500 0.000 0.500
0.500 0.500 0.500
0.500 0.000 0.000
```

Output
* ΔE_f (raw): -1.68 eV per atom



Mg2CrSb | meta-GGA SCAN | PBEsol geometry

```
Mg2CrSb
1.0
-0.064 -0.430 3.602
-2.498 -2.607 -0.355
4.381 -4.140 -0.416
Mg Cr Sb
2 1 1
direct
0.500 0.500 0.249
0.000 0.000 0.991
0.500 0.500 0.731
0.000 0.000 0.529
```

Output
* energy above the lowest structure with this stoichiometry: 3.27 kcal/mol of atoms
* ΔE_f (raw): 0.00 eV per atom